No. 1
The following is a DFT calculation (GGA-PBEsol) of crystalline CuAgHg2 at its relaxed geometry.

Cell: 2.9472 4.4792 11.1363 Å, 90.00 90.00 90.00°
Space group Imm2 (No. 44)
Asymmetric unit:
Cu 0.0000 0.0000 0.0000 (multiplicity 2)
Ag 0.0000 0.5000 0.3015 (multiplicity 2)
Hg 0.0000 0.0000 0.4895 (multiplicity 2)
Hg 0.0000 0.5000 0.7050 (multiplicity 2)

Results
Its total moment is 0.000 μB per formula unit. As for the formation energy: 0.09 eV per atom.



No. 2
The following is a DFT calculation (GGA-PBEsol) of crystalline CuAg2Hg at its relaxed geometry.

Cell: 3.9601 3.9601 4.1568 Å, 90.00 90.00 90.00°
Space group P4/mmm (No. 123)
Asymmetric unit:
Cu 0.0000 0.0000 0.0000 (multiplicity 1)
Ag 0.0000 0.5000 0.5000 (multiplicity 2)
Hg 0.5000 0.5000 0.0000 (multiplicity 1)

Results
Its total moment is 0.000 μB per formula unit. As for the formation energy: 0.08 eV per atom.



No. 3
The following is a DFT calculation (GGA-PBEsol) of crystalline CuSiAgHg2 at its relaxed geometry.

Cell: 4.9377 4.9377 4.3378 Å, 90.00 90.00 90.00°
Space group P4/mmm (No. 123)
Asymmetric unit:
Cu 0.0000 0.0000 0.0000 (multiplicity 1)
Si 0.0000 0.0000 0.5000 (multiplicity 1)
Ag 0.5000 0.5000 0.5000 (multiplicity 1)
Hg 0.0000 0.5000 0.0000 (multiplicity 2)

Results
Its total moment is 0.000 μB per formula unit. The value obtained for the uncorrected formation energy is 0.483 eV/atom.



No. 4
The following is a DFT calculation (GGA-PBEsol) of crystalline CuAgI2 at its relaxed geometry.

Cell: 6.2308 6.2308 12.1612 Å, 90.00 90.00 90.00°
Space group I-42d (No. 122)
Asymmetric unit:
Cu 0.0000 0.0000 0.0000 (multiplicity 4)
Ag 0.0000 0.0000 0.5000 (multiplicity 4)
I 0.2207 0.2500 0.1250 (multiplicity 8)

Results
Its total moment is 0.000 μB per formula unit. The value obtained for the uncorrected formation energy is -0.146 eV/atom.



No. 5
The following is a DFT calculation (GGA-PBEsol) of crystalline CuAgI2N at its relaxed geometry.

Cell: 5.6125 5.6125 3.9340 Å, 90.00 90.00 90.00°
Space group P4/mmm (No. 123)
Asymmetric unit:
Cu 0.0000 0.0000 0.0000 (multiplicity 1)
Ag 0.5000 0.5000 0.5000 (multiplicity 1)
I 0.0000 0.5000 0.5000 (multiplicity 2)
N 0.5000 0.5000 0.0000 (multiplicity 1)

Results
Its total moment is 1.903 μB per formula unit. The value obtained for the uncorrected formation energy is 1.129 eV/atom.



No. 6
The following is a DFT calculation (GGA-PBEsol) of crystalline CuAgIO2 at its relaxed geometry.

Cell: 3.7984 3.7984 6.0277 Å, 90.00 90.00 90.00°
Space group P4/mmm (No. 123)
Asymmetric unit:
Cu 0.0000 0.0000 0.0000 (multiplicity 1)
Ag 0.5000 0.5000 0.5000 (multiplicity 1)
I 0.0000 0.0000 0.5000 (multiplicity 1)
O 0.0000 0.5000 0.0000 (multiplicity 2)

Results
Its total moment is 1.624 μB per formula unit. The value obtained for the uncorrected formation energy is 0.238 eV/atom. The energy above the most stable polymorph in this dataset is 0.000 eV per atom.



No. 7
The following is a DFT calculation (GGA-PBEsol) of crystalline CuAgIO2 at its relaxed geometry.

Cell: 3.8453 3.8453 6.6930 Å, 90.00 90.00 90.00°
Space group P4/mmm (No. 123)
Asymmetric unit:
Cu 0.0000 0.0000 0.0000 (multiplicity 1)
Ag 0.5000 0.5000 0.5000 (multiplicity 1)
I 0.5000 0.5000 0.0000 (multiplicity 1)
O 0.0000 0.5000 0.5000 (multiplicity 2)

Results
Its total moment is 1.248 μB per formula unit. The value obtained for the uncorrected formation energy is 0.514 eV/atom. The energy above the most stable polymorph in this dataset is 0.277 eV per atom.



No. 8
The following is a DFT calculation (GGA-PBEsol) of crystalline CuAgTe2I at its relaxed geometry.

Cell: 5.0837 5.0837 5.3055 Å, 90.00 90.00 90.00°
Space group P4/mmm (No. 123)
Asymmetric unit:
Cu 0.0000 0.0000 0.0000 (multiplicity 1)
Ag 0.5000 0.5000 0.5000 (multiplicity 1)
Te 0.0000 0.5000 0.0000 (multiplicity 2)
I 0.0000 0.0000 0.5000 (multiplicity 1)

Results
Its total moment is 0.001 μB per formula unit. The value obtained for the uncorrected formation energy is 0.522 eV/atom.



No. 9
The following is a DFT calculation (GGA-PBEsol) of crystalline InCuAg2 at its relaxed geometry.

Cell: 3.1020 3.1020 6.9083 Å, 90.00 90.00 90.00°
Space group P4/mmm (No. 123)
Asymmetric unit:
In 0.0000 0.0000 0.0000 (multiplicity 1)
Cu 0.0000 0.0000 0.5000 (multiplicity 1)
Ag 0.5000 0.5000 0.2855 (multiplicity 2)

Results
Its total moment is 0.000 μB per formula unit. As for the formation energy: 0.05 eV per atom.



No. 10
The following is a DFT calculation (GGA-PBEsol) of crystalline InCuAg2 at its relaxed geometry.

Cell: 4.0227 4.0227 8.1050 Å, 90.00 90.00 90.00°
Space group I-4m2 (No. 119)
Asymmetric unit:
In 0.0000 0.0000 0.0000 (multiplicity 2)
Cu 0.0000 0.5000 0.7500 (multiplicity 2)
Ag 0.0000 0.0000 0.5000 (multiplicity 2)
Ag 0.0000 0.5000 0.2500 (multiplicity 2)

Results
Its total moment is 0.000 μB per formula unit. As for the formation energy: 0.01 eV per atom.



No. 11
The following is a DFT calculation (GGA-PBEsol) of crystalline InCuAg2 at its relaxed geometry.

Cell: 3.9941 3.9941 8.2226 Å, 90.00 90.00 90.00°
Space group I4/mmm (No. 139)
Asymmetric unit:
In 0.0000 0.0000 0.0000 (multiplicity 2)
Cu 0.0000 0.0000 0.5000 (multiplicity 2)
Ag 0.0000 0.5000 0.2500 (multiplicity 4)

Results
Its total moment is 0.000 μB per formula unit. As for the formation energy: 0.01 eV per atom.



No. 12
The following is a DFT calculation (GGA-PBEsol) of crystalline InCuAg2 at its relaxed geometry.

Cell: 2.9579 2.9579 26.9253 Å, 90.00 90.00 120.00°
Space group R-3m (No. 166, hexagonal axes)
Asymmetric unit:
In 0.0000 0.0000 0.0000 (multiplicity 3)
Cu 0.0000 0.0000 0.5000 (multiplicity 3)
Ag 0.0000 0.0000 0.2421 (multiplicity 6)

Results
Its total moment is 0.000 μB per formula unit. As for the formation energy: 0.13 eV per atom.



No. 13
The following is a DFT calculation (GGA-PBEsol) of crystalline InCuAg at its relaxed geometry.

Cell: 6.1624 6.1624 6.1624 Å, 90.00 90.00 90.00°
Space group F-43m (No. 216)
Asymmetric unit:
In 0.0000 0.0000 0.0000 (multiplicity 4)
Cu 0.0000 0.0000 0.5000 (multiplicity 4)
Ag 0.2500 0.2500 0.7500 (multiplicity 4)

Results
Its total moment is 0.000 μB per formula unit. As for the formation energy: 0.25 eV per atom.



No. 14
The following is a DFT calculation (GGA-PBEsol) of crystalline In2CuAg at its relaxed geometry.

Cell: 3.5833 3.7095 5.6098 Å, 90.00 90.00 90.00°
Space group Pmm2 (No. 25)
Asymmetric unit:
In 0.0000 0.0000 0.0000 (multiplicity 1)
In 0.5000 0.5000 0.3003 (multiplicity 1)
Cu 0.0000 0.0000 0.5133 (multiplicity 1)
Ag 0.5000 0.5000 0.7752 (multiplicity 1)

Results
Its total moment is 0.000 μB per formula unit. As for the formation energy: 0.08 eV per atom. The energy above the most stable polymorph in this dataset is 0.000 eV per atom.



No. 15
The following is a DFT calculation (GGA-PBEsol) of crystalline InCuAg2 at its relaxed geometry.

Cell: 3.9812 3.9812 4.1378 Å, 90.00 90.00 90.00°
Space group P4/mmm (No. 123)
Asymmetric unit:
In 0.0000 0.0000 0.0000 (multiplicity 1)
Cu 0.5000 0.5000 0.0000 (multiplicity 1)
Ag 0.0000 0.5000 0.5000 (multiplicity 2)

Results
Its total moment is 0.000 μB per formula unit. As for the formation energy: 0.01 eV per atom.



No. 16
The following is a DFT calculation (GGA-PBEsol) of crystalline In2CuAg at its relaxed geometry.

Cell: 4.1326 4.1326 8.5969 Å, 90.00 90.00 90.00°
Space group I-4m2 (No. 119)
Asymmetric unit:
In 0.0000 0.0000 0.0000 (multiplicity 2)
In 0.0000 0.5000 0.2500 (multiplicity 2)
Cu 0.0000 0.5000 0.7500 (multiplicity 2)
Ag 0.0000 0.0000 0.5000 (multiplicity 2)

Results
Its total moment is 0.000 μB per formula unit. As for the formation energy: 0.10 eV per atom. The energy above the most stable polymorph in this dataset is 0.021 eV per atom.



No. 17
The following is a DFT calculation (GGA-PBEsol) of crystalline InCuAg2 at its relaxed geometry.

Cell: 9.7728 3.3819 4.3986 Å, 90.00 115.24 90.00°
Space group C2/m (No. 12)
Asymmetric unit:
In 0.0000 0.0000 0.0000 (multiplicity 2)
Cu 0.0000 0.5000 0.5000 (multiplicity 2)
Ag 0.2327 0.0000 0.7328 (multiplicity 4)

Results
Its total moment is 0.000 μB per formula unit. As for the formation energy: 0.01 eV per atom.



No. 18
The following is a DFT calculation (GGA-PBEsol) of crystalline In2CuAgSe4 at its relaxed geometry.

Cell: 5.8867 5.8867 11.8292 Å, 90.00 90.00 90.00°
Space group I-4 (No. 82)
Asymmetric unit:
In 0.0000 0.0000 0.0000 (multiplicity 2)
In 0.0000 0.5000 0.2500 (multiplicity 2)
Cu 0.0000 0.0000 0.5000 (multiplicity 2)
Ag 0.0000 0.5000 0.7500 (multiplicity 2)
Se 0.2324 0.7653 0.6183 (multiplicity 8)

Results
Its total moment is 0.000 μB per formula unit. The value obtained for the uncorrected formation energy is -0.387 eV/atom.



No. 19
The following is a DFT calculation (GGA-PBEsol) of crystalline CuAgIr2 at its relaxed geometry.

Cell: 5.3166 9.2696 2.6678 Å, 90.00 119.50 90.00°
Space group C2/m (No. 12)
Asymmetric unit:
Cu 0.0000 0.0000 0.0000 (multiplicity 2)
Ag 0.0000 0.5000 0.0000 (multiplicity 2)
Ir 0.2500 0.2500 0.5000 (multiplicity 4)

Results
Its total moment is 0.002 μB per formula unit. As for the formation energy: 0.34 eV per atom.



No. 20
The following is a DFT calculation (GGA-PBEsol) of crystalline Cu2AgIr at its relaxed geometry.

Cell: 9.3560 2.6785 4.4939 Å, 90.00 109.26 90.00°
Space group Cm (No. 8)
Asymmetric unit:
Cu 0.0000 0.0000 0.0000 (multiplicity 2)
Cu 0.2280 0.5000 0.3313 (multiplicity 2)
Ag 0.4821 0.0000 0.4915 (multiplicity 2)
Ir 0.2517 0.0000 0.8506 (multiplicity 2)

Results
Its total moment is 0.003 μB per formula unit. As for the formation energy: 0.20 eV per atom.